(1)
The following is a DFT calculation (PBE) of a relaxed Ba2ZrCl crystal.

## Properties
Uncorrected formation energy   -0.411 eV per atom
Calculated volume   36.21 Å³/atom
Polymorph energy (0 for the lowest one)   0 meV/atom
Fermi-level density of states   0.8540 states/eV/atom
Crystal system   trigonal

Cell: 4.0019 4.0019 31.3337 Å, 90.00 90.00 120.00°
Closest atoms and distances in Å follow each position.
Space group R-3m (No. 166, hexagonal axes)
One atom of each set of equivalent atoms:
Ba1 0.0000 0.0000 0.2426 [6 per cell]  3 Cl 3.32, 3 Zr 3.66
Zr1 0.0000 0.0000 0.0000 [3 per cell]  6 Ba 3.66, 6 Zr 4.00
Cl1 0.0000 0.0000 0.5000 [3 per cell]  6 Ba 3.32


(2)
The following is a DFT calculation (PBE) of a relaxed BaZrCl crystal.

## Properties
Uncorrected formation energy   0.119 eV per atom
Calculated volume   34.16 Å³/atom
Polymorph energy (0 for the lowest one)   587 meV/atom
Fermi-level density of states   0.4210 states/eV/atom
Crystal system   cubic

Cell: 7.4287 7.4287 7.4287 Å, 90.00 90.00 90.00°
Closest atoms and distances in Å follow each position.
Space group F-43m (No. 216)
One atom of each set of equivalent atoms:
Ba1 0.0000 0.0000 0.0000 [4 per cell]  4 Cl 3.22
Zr1 0.0000 0.0000 0.5000 [4 per cell]  4 Cl 3.22
Cl1 0.2500 0.2500 0.2500 [4 per cell]  4 Zr 3.22, 4 Ba 3.22


(3)
The following is a DFT calculation (PBE) of a relaxed Ba2ZrCl crystal.

## Properties
Uncorrected formation energy   -0.398 eV per atom
Calculated volume   35.18 Å³/atom
Polymorph energy (0 for the lowest one)   14 meV/atom
Fermi-level density of states   1.8096 states/eV/atom
Crystal system   monoclinic

Cell: 3.7508 3.7506 10.0021 Å, 90.00 90.11 90.00°
Closest atoms and distances in Å follow each position.
Space group P2/m (No. 10)
One atom of each set of equivalent atoms:
Ba1 0.0017 0.0000 0.2720 [2 per cell]  4 Cl 3.49-3.50, 4 Ba 3.75, 4 Zr 3.80
Zr1 0.5000 0.5000 0.0000 [1 per cell]  4 Zr 3.75, 8 Ba 3.80
Cl1 0.5000 0.5000 0.5000 [1 per cell]  8 Ba 3.49-3.50, 4 Cl 3.75